No. 1
Nd5Ga2Co PBE optimized geometry; calculated total energy = -4.95 eV per atom; magnetic moment = 0.00 μB/f.u.; calculated formation energy = -0.324 eV/atom
1.0
7.870 0.000 0.000
0.000 11.924 0.000
0.000 0.000 4.657
Nd Ga Co
10 4 2
Direct
0.000 0.000 0.000
0.139 0.297 0.000
0.183 0.575 0.500
0.317 0.075 0.500
0.361 0.797 0.000
0.500 0.500 0.000
0.639 0.203 0.000
0.683 0.925 0.500
0.817 0.425 0.500
0.861 0.703 0.000
0.074 0.834 0.500
0.426 0.334 0.500
0.574 0.666 0.500
0.926 0.166 0.500
0.000 0.500 0.000
0.500 0.000 0.000

No. 2
MgTc4Ru PBE optimized geometry; calculated total energy = -8.43 eV per atom; magnetic moment = 0.00 μB/f.u.; calculated formation energy = 0.289 eV/atom
1.0
0.000 3.614 3.614
3.614 0.000 3.614
3.614 3.614 0.000
Mg Tc Ru
1 4 1
Direct
0.000 0.000 0.000
0.374 0.374 0.374
0.374 0.374 0.877
0.374 0.877 0.374
0.877 0.374 0.374
0.750 0.750 0.750

No. 3
AcPrHo2Bi4 PBE optimized geometry; calculated total energy = -5.09 eV per atom; magnetic moment = 0.00 μB/f.u.; calculated formation energy = -0.891 eV/atom
1.0
7.977 0.000 0.000
0.000 4.621 0.000
-2.672 0.000 7.542
Ac Pr Ho Bi
1 1 2 4
Direct
0.000 0.000 0.000
0.000 0.500 0.500
0.500 0.000 0.500
0.500 0.500 0.000
0.266 0.000 0.750
0.270 0.500 0.262
0.730 0.500 0.738
0.734 0.000 0.250

No. 4
Si5Hg4 PBE optimized geometry; calculated total energy = -2.53 eV per atom; formation energy without anion corrections = 5.565 eV per formula unit; magnetic moment = 0.00 μB/f.u.
1.0
8.883 0.000 0.000
-4.441 7.693 0.000
0.000 0.000 5.419
Si Hg
10 8
Direct
0.000 0.415 0.250
0.000 0.585 0.750
0.333 0.667 0.000
0.333 0.667 0.500
0.415 0.000 0.250
0.415 0.415 0.750
0.585 0.000 0.750
0.585 0.585 0.250
0.667 0.333 0.000
0.667 0.333 0.500
0.000 0.000 0.000
0.000 0.000 0.500
0.000 0.293 0.750
0.000 0.707 0.250
0.293 0.000 0.750
0.293 0.293 0.250
0.707 0.000 0.250
0.707 0.707 0.750

No. 5
DyPa3S4 PBE optimized geometry; calculated total energy = -7.89 eV per atom; formation energy without anion corrections = -13.522 eV per formula unit; magnetic moment = 0.00 μB/f.u.
1.0
6.896 0.000 0.000
0.000 7.772 0.000
-2.181 0.000 6.232
Dy Pa S
2 6 8
Direct
0.000 0.125 0.250
0.000 0.875 0.750
0.000 0.378 0.750
0.000 0.622 0.250
0.500 0.126 0.750
0.500 0.377 0.250
0.500 0.623 0.750
0.500 0.874 0.250
0.247 0.124 0.999
0.247 0.372 0.498
0.247 0.628 0.998
0.247 0.876 0.499
0.753 0.124 0.501
0.753 0.372 0.002
0.753 0.628 0.502
0.753 0.876 0.001

No. 6
Nb2TcH PBE optimized geometry; calculated total energy = -8.47 eV per atom; magnetic moment = 0.00 μB/f.u.
1.0
1.493 0.862 6.906
-1.493 0.862 6.906
0.000 -1.724 6.906
Nb Tc H
2 1 1
Direct
0.231 0.231 0.231
0.769 0.769 0.769
0.000 0.000 0.000
0.500 0.500 0.500